Here is a relaxed structure of RbLiNb2 from the Alexandria database. Energies are from PBE.

Fermi-level density of states ... 17.1 states/eV per cell
Relative energy among the computed polymorphs ... 0.00 eV per formula unit
Energy of formation from the pure elements ... 1.518 eV/atom
Calculated volume ... 131 Å³/f.u.
Magnetic moment ... 0.000 μB/f.u.

Cell lengths 4.7777, 4.7777, 22.9534 Å; angles 90.00, 90.00, 90.00 degrees
Closest atoms and distances in Å follow each position.
Space group I4_1/amd (No. 141, origin choice 2)
One atom of each set of equivalent atoms:
Rb 0.0000 0.2500 0.3750 x4  4 Li 3.38
Li 0.0000 0.2500 0.8750 x4  4 Nb 3.11, 4 Rb 3.38
Nb 0.0000 0.0000 0.0000 x8  2 Nb 2.39

Here is a relaxed structure of Ac7Pr12Sm from the Alexandria database. Energies are from PBE.

Fermi-level density of states ... 60.4 states/eV per cell
Energy of formation from the pure elements ... 0.767 eV/atom
Calculated volume ... 917 Å³/f.u.
Magnetic moment ... 0.000 μB/f.u.

Cell lengths 12.2424, 12.2424, 12.2424 Å; angles 90.00, 90.00, 90.00 degrees
Closest atoms and distances in Å follow each position.
Space group Im-3 (No. 204)
One atom of each set of equivalent atoms:
Ac 0.0000 0.0000 0.5000 x6  8 Pr 3.64-3.82
Ac 0.2500 0.2500 0.2500 x8  6 Pr 3.20
Pr 0.0000 0.3256 0.2413 x24  2 Ac 3.20
Sm 0.0000 0.0000 0.0000 x2  12 Pr 4.96, 8 Ac 5.30

Here is a relaxed structure of YLu3 from the Alexandria database. Energies are from PBE.

Fermi-level density of states ... 12.0 states/eV per cell
Relative energy among the computed polymorphs ... 0.16 eV per formula unit
Energy of formation from the pure elements ... 0.039 eV/atom
Calculated volume ... 120 Å³/f.u.
Magnetic moment ... 0.000 μB/f.u.

Cell lengths 4.9344, 4.9344, 9.8753 Å; angles 90.00, 90.00, 90.00 degrees
Closest atoms and distances in Å follow each position.
Space group I4/mmm (No. 139)
One atom of each set of equivalent atoms:
Y 0.0000 0.0000 0.0000 x2  12 Lu 3.49
Lu 0.0000 0.0000 0.5000 x2  4 Y 3.49, 8 Lu 3.49
Lu 0.0000 0.5000 0.2500 x4  8 Lu 3.49, 4 Y 3.49

Here is a relaxed structure of YGa2MoAs from the Alexandria database. Energies are from PBE.

Fermi-level density of states ... 3.7 states/eV per cell
Energy of formation from the pure elements ... 0.773 eV/atom
Calculated volume ... 127 Å³/f.u.
Magnetic moment ... 3.799 μB/f.u.

Cell lengths 4.8633, 4.8633, 5.3550 Å; angles 90.00, 90.00, 90.00 degrees
Closest atoms and distances in Å follow each position.
Space group P4/mmm (No. 123)
One atom of each set of equivalent atoms:
Y 0.0000 0.0000 0.0000 x1  2 As 2.68
Ga 0.0000 0.5000 0.5000 x2  2 As 2.43
Mo 0.5000 0.5000 0.0000 x1  4 Y 3.44, 8 Ga 3.62
As 0.0000 0.0000 0.5000 x1  4 Ga 2.43, 2 Y 2.68

Here is a relaxed structure of PrYSc from the Alexandria database. Energies are from PBE.

Fermi-level density of states ... 4.9 states/eV per cell
Relative energy among the computed polymorphs ... 0.12 eV per formula unit
Energy of formation from the pure elements ... 0.090 eV/atom
Calculated volume ... 92 Å³/f.u.
Magnetic moment ... 0.000 μB/f.u.

Cell lengths 5.5775, 5.5775, 3.4333 Å; angles 90.00, 90.00, 120.00 degrees
Closest atoms and distances in Å follow each position.
Space group P-6m2 (No. 187)
One atom of each set of equivalent atoms:
Pr 0.0000 0.0000 0.0000 x1  2 Pr 3.43, 6 Sc 3.65, 6 Y 3.65
Y 0.3333 0.6667 0.5000 x1  3 Sc 3.22, 2 Y 3.43
Sc 0.6667 0.3333 0.5000 x1  3 Y 3.22, 2 Sc 3.43

Here is a relaxed structure of Te2PdI from the Alexandria database. Energies are from PBE.

Fermi-level density of states ... 6.5 states/eV per cell
Calculated volume ... 117 Å³/f.u.
Total DFT energy (no corrections) ... -41.848 eV per cell
Magnetic moment ... 0.000 μB/f.u.

Cell lengths 4.1365, 4.1365, 23.7178 Å; angles 90.00, 90.00, 120.00 degrees
Closest atoms and distances in Å follow each position.
Space group R3m (No. 160, hexagonal axes)
One atom of each set of equivalent atoms:
Te 0.0000 0.0000 0.0000 x3  3 Pd 2.73
Te 0.0000 0.0000 0.2233 x3  3 Pd 2.71
Pd 0.0000 0.0000 0.6111 x3  6 Te 2.71-2.73
I 0.0000 0.0000 0.4354 x3  6 Te 3.40-3.74

Here is a relaxed structure of PmPaFeOs from the Alexandria database. Energies are from PBE.

Fermi-level density of states ... 12.9 states/eV per cell
Energy of formation from the pure elements ... 0.047 eV/atom
Calculated volume ... 81 Å³/f.u.
Magnetic moment ... 0.626 μB/f.u.

Cell lengths 6.8808, 6.8808, 6.8808 Å; angles 90.00, 90.00, 90.00 degrees
Closest atoms and distances in Å follow each position.
Space group F-43m (No. 216)
One atom of each set of equivalent atoms:
Pm 0.0000 0.0000 0.0000 x4  4 Fe 2.98, 4 Os 2.98
Pa 0.0000 0.0000 0.5000 x4  4 Os 2.98, 4 Fe 2.98
Fe 0.2500 0.2500 0.2500 x4  4 Pa 2.98, 4 Pm 2.98
Os 0.2500 0.2500 0.7500 x4  4 Pa 2.98, 4 Pm 2.98

Here is a relaxed structure of VFeTe2 from the Alexandria database. Energies are from PBE.

Fermi-level density of states ... 17.4 states/eV per cell
Calculated volume ... 89 Å³/f.u.
Total DFT energy (no corrections) ... -67.901 eV per cell
Magnetic moment ... 2.424 μB/f.u.

Cell lengths 3.4651, 3.4651, 25.8149 Å; angles 90.00, 90.00, 120.00 degrees
Closest atoms and distances in Å follow each position.
Space group R-3m (No. 166, hexagonal axes)
One atom of each set of equivalent atoms:
V 0.0000 0.0000 0.0000 x3  6 Te 2.67
Fe 0.0000 0.0000 0.5000 x3  2 Te 2.53
Te 0.0000 0.0000 0.4019 x6  1 Fe 2.53, 3 V 2.67